Record 1
PBE AcTl2Au9, optimized geometry; energy of formation = -242 meV/atom; DFT total energy = -41.25 eV per formula unit; mass density = 15042 kg/m³
1.0
2.869 1.656 9.325
-2.869 1.656 9.325
0.000 -3.313 9.325
Ac Tl Au
1 2 9
direct
0.000 0.000 0.000 Ac
0.146 0.146 0.146 Tl
0.854 0.854 0.854 Tl
0.082 0.584 0.584 Au
0.333 0.333 0.333 Au
0.416 0.416 0.918 Au
0.416 0.918 0.416 Au
0.500 0.500 0.500 Au
0.584 0.082 0.584 Au
0.584 0.584 0.082 Au
0.667 0.667 0.667 Au
0.918 0.416 0.416 Au

Record 2
PBE Na3TaCr2Se6, optimized geometry; DFT total energy = -65.16 eV per formula unit; mass density = 5216 kg/m³
1.0
3.336 -5.767 0.000
3.336 5.767 0.000
-2.222 0.000 6.848
Na Ta Cr Se
3 1 2 6
direct
0.000 0.000 0.000 Na
0.334 0.666 0.000 Na
0.666 0.334 0.000 Na
0.500 0.500 0.500 Ta
0.167 0.833 0.500 Cr
0.833 0.167 0.500 Cr
0.097 0.431 0.295 Se
0.233 0.233 0.705 Se
0.431 0.097 0.295 Se
0.569 0.903 0.705 Se
0.767 0.767 0.295 Se
0.903 0.569 0.705 Se

- Look up the DFT total energy of the first one.
  -41.25 eV per formula unit